The following is a PBE calculation of Pm2Sc2GeBi2 after structural relaxation, from Alexandria via LeMat-Bulk.

Properties
* DFT total energy: -39.1 eV for the cell shown
* SG: I4/mmm, No. 139
* formation energy from the elements: -0.65 eV/atom
* magnetization: 0.0 μB per formula unit
* V: 29.28 A^3/atom

Lattice parameters (Å, degrees): 4.9732 4.9732 9.0031 106.03 106.03 90.00
With the nearest neighbours (Å) after each atom.
Fractional coordinates of all 7 atoms:
Bi (0.3684, 0.3684, 0.7367)  5 Pm 3.27-3.58, 4 Sc 3.31
Ge (0.0000, 0.0000, 0.0000)  4 Sc 2.49
Bi (0.6316, 0.6316, 0.2633)  5 Pm 3.27-3.58, 4 Sc 3.31
Pm (0.1714, 0.1714, 0.3427)  1 Ge 2.84
Sc (0.0000, 0.5000, 0.0000)  2 Ge 2.49
Pm (0.8286, 0.8286, 0.6573)  1 Ge 2.84
Sc (0.5000, 0.0000, 0.0000)  2 Ge 2.49

---

The following is a PBE calculation of AlRuRh2 after structural relaxation, from Alexandria via LeMat-Bulk.

Properties
* DFT total energy: -29.1 eV for the cell shown
* SG: P4mm, No. 99
* formation energy from the elements: -0.34 eV/atom
* magnetization: 0.0 μB per formula unit
* V: 13.96 A^3/atom

Lattice parameters (Å, degrees): 2.8385 2.8385 6.9283 90.00 90.00 90.00
With the nearest neighbours (Å) after each atom.
Fractional coordinates of all 4 atoms:
Al (0.5000, 0.5000, 0.7545)  4 Rh 2.53, 4 Ru 2.62
Ru (0.0000, 0.0000, 0.5105)  4 Al 2.62, 4 Rh 2.66, 4 Ru 2.84
Rh (0.5000, 0.5000, 0.2587)  4 Ru 2.66, 8 Rh 2.80-2.84
Rh (0.0000, 0.0000, 0.9762)  4 Al 2.53, 4 Rh 2.80

---

The following is a PBE calculation of CaTb4Y after structural relaxation, from Alexandria via LeMat-Bulk.

Properties
* DFT total energy: -25.8 eV for the cell shown
* SG: F-43m, No. 216
* formation energy from the elements: 0.20 eV/atom
* energy relative to the lowest polymorph listed for this composition: 145 meV per atom
* magnetization: 0.0 μB per formula unit
* V: 34.83 A^3/atom

Lattice parameters (Å, degrees): 6.6610 6.6610 6.6610 60.00 60.00 60.00
With the nearest neighbours (Å) after each atom.
Fractional coordinates of all 6 atoms:
Tb (0.6266, 0.6266, 0.6266)  6 Tb 3.29-3.37
Tb (0.6266, 0.6266, 0.1201)  6 Tb 3.29-3.37
Y (0.0000, 0.0000, 0.0000)  12 Tb 3.90, 4 Ca 4.08
Ca (0.2500, 0.2500, 0.2500)  12 Tb 3.91, 4 Y 4.08
Tb (0.1201, 0.6266, 0.6266)  6 Tb 3.29-3.37
Tb (0.6266, 0.1201, 0.6266)  6 Tb 3.29-3.37